The following is a PBE with a Hubbard U calculation of a relaxed structure of K2PmWO6, from the Alexandria database.

Calculated values
Raw total energy   -0.487 Ry per atom

Cell: 10.514 6.070 6.070 Å, 90.00 125.27 90.00°
Space group C2/m (No. 12)
One atom of each set of equivalent atoms:
K (0.250, 0.000, 0.250) x4
Pm (0.000, 0.000, 0.500) x2
W (0.000, 0.500, 0.000) x2
O (0.001, 0.273, 0.774) x8
O (0.227, 0.500, 0.230) x4